CaReCBr2: optimized geometry, PBE-GGA.

* D(E_F): 0.000 states/eV/f.u.
* ΔE_f (raw): 1.4973 eV per atom
* crystal system: tetragonal

a = 5.610 Å, b = 5.610 Å, c = 4.989 Å
α = 90.00°, β = 90.00°, γ = 90.00°
Fractional coordinates of all 5 atoms:
Ca  0.000  0.000  0.000
Re  0.500  0.500  0.500
C  0.000  0.000  0.500
Br  0.000  0.500  0.000
Br  0.500  0.000  0.000